(1)
DFT (PBE) results for an optimized crystal structure of Bi2SeI.

Cell lengths 5.4821, 5.4821, 5.4821 Å; angles 60.00, 60.00, 60.00 degrees
Fractional coordinates of all 4 atoms:
Bi1 0.2500 0.2500 0.2500
Bi2 0.7500 0.7500 0.7500
Se1 0.0000 0.0000 0.0000
I1 0.5000 0.5000 0.5000

=====

(2)
DFT (PBE) results for an optimized crystal structure of BiSeI.

Cell lengths 4.3210, 5.8515, 10.1035 Å; angles 90.00, 90.00, 90.00 degrees
Fractional coordinates of all 6 atoms:
Bi1 0.2500 0.2500 0.1217
Bi2 0.7500 0.7500 0.8783
Se1 0.2500 0.7500 0.0761
Se2 0.7500 0.2500 0.9239
I1 0.2500 0.7500 0.6533
I2 0.7500 0.2500 0.3467

=====

(3)
DFT (PBE) results for an optimized crystal structure of Bi2SeI3.

Cell lengths 10.9825, 10.9825, 15.6833 Å; angles 129.25, 129.25, 22.19 degrees
Fractional coordinates of all 12 atoms:
Bi1 0.0869 0.0869 0.4818
Bi2 0.3647 0.3647 0.1663
Bi3 0.6353 0.6353 0.8337
Bi4 0.9131 0.9131 0.5182
Se1 0.0929 0.0929 0.6763
Se2 0.9071 0.9071 0.3237
I1 0.1781 0.1781 0.0357
I2 0.2706 0.2706 0.3801
I3 0.4536 0.4536 0.7175
I4 0.5464 0.5464 0.2825
I5 0.7294 0.7294 0.6199
I6 0.8219 0.8219 0.9643

=====

(4)
DFT (PBE) results for an optimized crystal structure of Bi2SeI2.

Its energy above the lowest structure with this stoichiometry is 0.045 eV per atom.

Cell lengths 7.8709, 7.8709, 5.2771 Å; angles 90.00, 90.00, 90.00 degrees
Fractional coordinates of all 10 atoms:
Bi1 0.1546 0.3454 0.0000
Bi2 0.3454 0.8454 0.0000
Bi3 0.6546 0.1546 0.0000
Bi4 0.8454 0.6546 0.0000
Se1 0.0000 0.0000 0.0000
Se2 0.5000 0.5000 0.0000
I1 0.1712 0.6712 0.5000
I2 0.3288 0.1712 0.5000
I3 0.6712 0.8288 0.5000
I4 0.8288 0.3288 0.5000

=====

(5)
DFT (PBE) results for an optimized crystal structure of BiSeI3.

Its energy above the lowest structure with this stoichiometry is 0.114 eV per atom.

Cell lengths 5.7394, 5.7394, 5.7394 Å; angles 90.00, 90.00, 90.00 degrees
Fractional coordinates of all 5 atoms:
Bi1 0.0000 0.0000 0.0000
Se1 0.5000 0.5000 0.5000
I1 0.0000 0.5000 0.5000
I2 0.5000 0.0000 0.5000
I3 0.5000 0.5000 0.0000

=====

(6)
DFT (PBE) results for an optimized crystal structure of BiSeI.

Cell lengths 8.8027, 4.2481, 12.0085 Å; angles 90.00, 90.00, 90.00 degrees
Fractional coordinates of all 12 atoms:
Bi1 0.1051 0.2500 0.1239
Bi2 0.3949 0.7500 0.6239
Bi3 0.6051 0.2500 0.3761
Bi4 0.8949 0.7500 0.8761
Se1 0.1800 0.7500 0.9697
Se2 0.3200 0.2500 0.4697
Se3 0.6800 0.7500 0.5303
Se4 0.8200 0.2500 0.0303
I1 0.0404 0.2500 0.7015
I2 0.4596 0.7500 0.2015
I3 0.5404 0.2500 0.7985
I4 0.9596 0.7500 0.2985

=====

(7)
DFT (PBE) results for an optimized crystal structure of BiSeI3.

Its energy above the lowest structure with this stoichiometry is 0.000 eV per atom.

Cell lengths 6.1521, 6.1521, 6.1521 Å; angles 90.00, 90.00, 90.00 degrees
Fractional coordinates of all 5 atoms:
Bi1 0.0000 0.0000 0.0000
Se1 0.5000 0.5000 0.5000
I1 0.0000 0.0000 0.5000
I2 0.0000 0.5000 0.0000
I3 0.5000 0.0000 0.0000

=====

(8)
DFT (PBE) results for an optimized crystal structure of BiSe6I12.

Cell lengths 13.5267, 13.5267, 13.5267 Å; angles 40.91, 40.91, 40.91 degrees
Fractional coordinates of all 19 atoms:
Bi1 0.0000 0.0000 0.0000
Se1 0.1242 0.1888 0.4269
Se2 0.1888 0.4269 0.1242
Se3 0.4269 0.1242 0.1888
Se4 0.5731 0.8758 0.8112
Se5 0.8112 0.5731 0.8758
Se6 0.8758 0.8112 0.5731
I1 0.0698 0.3085 0.7591
I2 0.1573 0.7717 0.4839
I3 0.2283 0.5161 0.8427
I4 0.2409 0.9302 0.6915
I5 0.3085 0.7591 0.0698
I6 0.4839 0.1573 0.7717
I7 0.5161 0.8427 0.2283
I8 0.6915 0.2409 0.9302
I9 0.7591 0.0698 0.3085
I10 0.7717 0.4839 0.1573
I11 0.8427 0.2283 0.5161
I12 0.9302 0.6915 0.2409

=====

(9)
DFT (PBE) results for an optimized crystal structure of Bi3SeI7.

Cell lengths 8.7924, 8.7924, 7.7218 Å; angles 90.00, 90.00, 120.00 degrees
Fractional coordinates of all 11 atoms:
Bi1 0.0147 0.5074 0.0000
Bi2 0.4926 0.5074 0.0000
Bi3 0.4926 0.9853 0.0000
Se1 0.3333 0.6667 0.8012
I1 0.1675 0.3350 0.2435
I2 0.1675 0.8325 0.2435
I3 0.3338 0.1669 0.7706
I4 0.6650 0.8325 0.2435
I5 0.6667 0.3333 0.2518
I6 0.8331 0.1669 0.7706
I7 0.8331 0.6662 0.7706

=====

(10)
DFT (PBE) results for an optimized crystal structure of BiSe3I.

Its energy above the lowest structure with this stoichiometry is 0.000 eV per atom.

Cell lengths 5.6522, 5.6522, 5.6522 Å; angles 90.00, 90.00, 90.00 degrees
Fractional coordinates of all 5 atoms:
Bi1 0.0000 0.0000 0.0000
Se1 0.0000 0.0000 0.5000
Se2 0.0000 0.5000 0.0000
Se3 0.5000 0.0000 0.0000
I1 0.5000 0.5000 0.5000

=====

(11)
DFT (PBE) results for an optimized crystal structure of BiSeI.

Cell lengths 8.0423, 8.0423, 8.0423 Å; angles 150.26, 129.57, 59.65 degrees
Fractional coordinates of all 6 atoms:
Bi1 0.1569 0.1569 0.0000
Bi2 0.8431 0.8431 0.0000
Se1 0.2917 0.7917 0.5000
Se2 0.7083 0.2083 0.5000
I1 0.2521 0.5000 0.7521
I2 0.7479 0.5000 0.2479

=====

(12)
DFT (PBE) results for an optimized crystal structure of Sr4BiSe2I.

Cell lengths 7.9924, 4.6637, 8.0803 Å; angles 90.00, 108.75, 90.00 degrees
Fractional coordinates of all 8 atoms:
Sr1 0.2267 0.0000 0.2228
Sr2 0.2435 0.5000 0.7645
Sr3 0.7565 0.5000 0.2355
Sr4 0.7733 0.0000 0.7772
Bi1 0.0000 0.0000 0.5000
Se1 0.0000 0.5000 0.0000
Se2 0.5000 0.0000 0.0000
I1 0.5000 0.5000 0.5000

=====

| no. | final energy (eV/atom) |
| --- | --- |
| 1 | -3.0262 |
| 2 | -3.3856 |
| 3 | -2.9328 |
| 4 | -2.9162 |
| 5 | -2.0262 |
| 6 | -3.3870 |
| 7 | -2.1407 |
| 8 | -2.2541 |
| 9 | -2.8095 |
| 10 | -2.6126 |
| 11 | -3.2002 |
| 12 | -3.9945 |